Below is a geometry-optimized Cs2VBiF6 structure, with properties calculated at the GGA+U level.

abc: 7.0471 7.0471 7.0471
angles: 127.59 127.59 77.29
Last column: nearest neighbours and their distance in Å.
Sites, in units of the cell vectors:
Cs 0.2500 0.7500 0.5000  12 F 3.19-3.52
Cs 0.7500 0.2500 0.5000  12 F 3.19-3.52
V 0.0000 0.0000 0.0000  6 F 2.07-2.11
Bi 0.5000 0.5000 0.0000  4 F 2.29
F 0.1881 0.1881 0.0000  1 V 2.07
F 0.2397 0.2397 0.4794  1 V 2.11, 1 Bi 2.29
F 0.2397 0.7603 0.0000  1 V 2.11, 1 Bi 2.29
F 0.7603 0.2397 0.0000  1 V 2.11, 1 Bi 2.29
F 0.7603 0.7603 0.5206  1 V 2.11, 1 Bi 2.29
F 0.8119 0.8119 0.0000  1 V 2.07

Calculated values
Total magnetization, Bohr magnetons per cell: 2.00
DOS at the Fermi energy, states/eV/atom: 0.000
Uncorrected energy, eV/cell: -48.94
Mass density, g/cm3: 4.98